The following is a PBE-GGA calculation of a relaxed structure of CdGaHg2, from the Alexandria database.

Calculated values
- Crystal system: trigonal
- DOS at the Fermi energy: 0.34 states/eV/atom
- Space-group type: R-3m
- E_form: 72 meV per atom
- ρ: 10.136 Mg/m³

a = 3.1889 Å, b = 3.1889 Å, c = 32.5535 Å
α = 90.00°, β = 90.00°, γ = 120.00°
Closest atoms and distances in Å follow each position.
Sites, in units of the cell vectors:
Cd 0.0000 0.0000 0.0000  6 Cd 3.19, 6 Hg 3.23
Cd 0.3333 0.6667 0.6667  6 Cd 3.19, 6 Hg 3.23
Cd 0.6667 0.3333 0.3333  6 Cd 3.19, 6 Hg 3.23
Ga 0.0000 0.0000 0.5000  2 Hg 2.77
Ga 0.3333 0.6667 0.1667  2 Hg 2.77
Ga 0.6667 0.3333 0.8333  2 Hg 2.77
Hg 0.0000 0.0000 0.4150  1 Ga 2.77
Hg 0.0000 0.0000 0.5850  1 Ga 2.77
Hg 0.3333 0.6667 0.0817  1 Ga 2.77
Hg 0.3333 0.6667 0.2517  1 Ga 2.77
Hg 0.6667 0.3333 0.7483  1 Ga 2.77
Hg 0.6667 0.3333 0.9183  1 Ga 2.77